Below is an optimized crystal structure of NiSb2, with properties calculated at the PBEsol level.

Uncorrected energy = -4.4698 eV/atom
Crystal system = hexagonal
V = 21.34 Å³/atom

a = 5.004 Å, b = 5.004 Å, c = 5.905 Å
α = 90.00°, β = 90.00°, γ = 120.00°
Atoms (fractional coordinates):
Sb: 0.333 0.667 0.000
Sb: 0.667 0.333 0.000
Sb: 0.333 0.667 0.500
Sb: 0.667 0.333 0.500
Ni: 0.000 0.000 0.750
Ni: 0.000 0.000 0.250